# CoAsW2 (GGA-PBE, optimized geometry)
data_CoAsW2
_cell_length_a 8.774
_cell_length_b 8.774
_cell_length_c 8.774
_cell_angle_alpha 18.48
_cell_angle_beta 18.48
_cell_angle_gamma 18.48
_space_group_name_H-M_alt 'P 1'
_space_group_IT_number 1
loop_
_space_group_symop_operation_xyz
'x,y,z'
loop_
_atom_site_label
_atom_site_type_symbol
_atom_site_fract_x
_atom_site_fract_y
_atom_site_fract_z
As1 As 0.493 0.493 0.493
Co1 Co 0.753 0.753 0.753
W1 W 0.007 0.007 0.007
W2 W 0.246 0.246 0.246
# ΔH_f (0 K): 331 meV per atom
# Calculated volume: 59.3 Å³/f.u.
# Magnetic moment: 0.46 μB/f.u.
# Density of states at the Fermi level: 0.945 states/eV per atom
# Space-group type: R3m (160)